1.
Below is a relaxed Ga2Bi2I crystal, with properties calculated at the PBEsol level.

Formation energy without anion corrections (eV per atom): -0.0681
Total energy (eV per atom): -3.47
Density of states at the Fermi level (states/eV/cell): 2.65
Space group: I4/mmm

Cell lengths 4.102, 4.102, 16.758 Å; angles 90.00, 90.00, 90.00 degrees
Fractional coordinates of all 10 atoms:
Ga 0.000 0.500 0.250
Ga 0.000 0.500 0.750
Ga 0.500 0.000 0.250
Ga 0.500 0.000 0.750
Bi 0.000 0.000 0.128
Bi 0.000 0.000 0.872
Bi 0.500 0.500 0.372
Bi 0.500 0.500 0.628
I 0.000 0.000 0.500
I 0.500 0.500 0.000

---

2.
Below is a relaxed Ba2NaPdW crystal, with properties calculated at the PBEsol level.

Total energy (eV per atom): -3.39
Density of states at the Fermi level (states/eV/cell): 5.30
Energy relative to the elements (meV/atom): 1707
Space group: P4/mmm

Cell lengths 5.991, 5.991, 5.040 Å; angles 90.00, 90.00, 90.00 degrees
Fractional coordinates of all 5 atoms:
Ba 0.000 0.500 0.000
Ba 0.500 0.000 0.000
Na 0.000 0.000 0.000
Pd 0.500 0.500 0.500
W 0.000 0.000 0.500